No. 1
An optimized crystal structure of Cd2SiSnP4. Source: OQMD, functional PBE.

Geometry as extended XYZ:
```
8
Lattice="-2.9149 2.9149 5.5732 2.9149 -2.9149 5.5732 2.9149 2.9149 -5.5732" Properties=species:S:1:pos:R:3 pbc="T T T"
Cd 0.0000 0.0000 0.0000
Cd 0.0000 2.9149 2.7866
P 1.5823 -1.3027 4.0798
P 1.3027 1.5823 7.0666
P 1.6122 1.3326 1.4934
P 1.3326 4.2176 -1.4934
Si 2.9149 0.0000 2.7866
Sn 0.0000 0.0000 5.5732
```

Results
V, Å³/atom: 23.68
Space group: I-4, No. 82
Raw total energy, eV per formula unit: -34.1



No. 2
An optimized crystal structure of SrCdSi2P4. Source: OQMD, functional PBE.

Geometry as extended XYZ:
```
8
Lattice="3.9164 3.5403 -3.4036 -2.8123 5.0282 2.5029 2.4383 -4.3108 3.8637" Properties=species:S:1:pos:R:3 pbc="T T T"
Cd 0.0000 0.0000 0.0000
P -0.7981 3.6479 1.2667
P 2.3042 5.1701 0.6993
P 1.4868 1.0158 2.0610
P 4.0920 -1.3185 1.8990
Si 0.5521 4.2842 -0.4503
Si 0.0890 2.5008 2.9581
Sr 3.4534 1.7569 0.0049
```

Results
V, Å³/atom: 22.36
Space group: I-4, No. 82
Raw total energy, eV per formula unit: -38.0



No. 3
An optimized crystal structure of ZnCdSi2P4. Source: OQMD, functional PBE.

Geometry as extended XYZ:
```
8
Lattice="-2.7916 2.7916 5.2444 2.7916 -2.7916 5.2444 2.7916 2.7916 -5.2444" Properties=species:S:1:pos:R:3 pbc="T T T"
Cd 0.0000 0.0000 0.0000
P 1.3351 -1.2165 3.8785
P 1.2165 1.3351 6.6103
P 1.5751 1.4565 1.3659
P 1.4565 4.0081 -1.3659
Si 0.0000 0.0000 5.2444
Si 2.7916 0.0000 2.6222
Zn 0.0000 2.7916 2.6222
```

Results
V, Å³/atom: 20.43
Space group: I-4, No. 82
Raw total energy, eV per formula unit: -36.6



No. 4
An optimized crystal structure of SmCd2P2. Source: OQMD, functional PBE.

Geometry as extended XYZ:
```
5
Lattice="3.6810 -0.4675 5.9794 -1.9557 -0.0125 6.7599 -1.1025 -2.6032 -6.4443" Properties=species:S:1:pos:R:3 pbc="T T T"
Cd 1.7206 -1.6554 2.9524
Cd -1.0978 -1.4279 3.3426
P 0.7108 -0.1978 5.2488
P 1.0144 -0.2823 7.4905
Sm 0.0000 0.0000 0.0000
```

Results
V, Å³/atom: 20.96
Space group: I4/mmm, No. 139
Raw total energy, eV per formula unit: -19.4



No. 5
An optimized crystal structure of SrSmCdP2. Source: OQMD, functional PBE.

Geometry as extended XYZ:
```
10
Lattice="2.1040 -8.6463 0.0000 2.1040 8.6463 0.0000 0.0000 0.0000 6.8553" Properties=species:S:1:pos:R:3 pbc="T T T"
Cd 2.1040 -1.8493 0.5320
Cd 2.1040 1.8493 3.9597
P 2.1040 -5.6298 3.0045
P 2.1040 -1.0252 3.0457
P 2.1040 5.6298 6.4321
P 2.1040 1.0252 6.4734
Sm 2.1040 -8.1062 1.6526
Sm 2.1040 8.1062 5.0802
Sr 2.1040 5.2271 2.8988
Sr 2.1040 -5.2271 6.3265
```

Results
V, Å³/atom: 24.94
Space group: Cmc2_1, No. 36
Raw total energy, eV per formula unit: -22.5



No. 6
An optimized crystal structure of Cd2Sn2P. Source: OQMD, functional PBE.

Geometry as extended XYZ:
```
10
Lattice="-4.7855 5.5665 -2.2818 3.1316 -2.5544 6.5392 4.9793 3.8567 -0.9184" Properties=species:S:1:pos:R:3 pbc="T T T"
Cd 0.1541 3.7272 0.9139
Cd 1.7639 2.0761 2.7074
Cd 2.5550 5.7356 0.3315
Cd 4.3518 3.8925 2.3334
P -1.4415 2.6854 3.7661
P 3.4089 3.1079 -0.1983
Sn -2.8532 4.7468 -0.6623
Sn 2.2842 -0.5229 5.0617
Sn -0.3162 6.3351 -1.4576
Sn 4.8081 1.0789 4.2517
```

Results
V, Å³/atom: 25.01
Space group: Cm, No. 8
Raw total energy, eV per formula unit: -14.7



No. 7
An optimized crystal structure of Pa2Cd3Pb. Source: OQMD, functional PBE.

Geometry as extended XYZ:
```
6
Lattice="5.1242 0.0000 0.0000 -2.5621 4.4376 0.0000 0.0000 0.0000 6.7229" Properties=species:S:1:pos:R:3 pbc="T T T"
Cd 0.0000 0.0000 0.0000
Cd 0.0000 2.9584 2.2034
Cd 2.5621 1.4792 4.5195
Pa 2.5621 1.4792 1.1427
Pa 0.0000 2.9584 5.5802
Pb 0.0000 0.0000 3.3614
```

Results
V, Å³/atom: 25.48
Space group: P-3m1, No. 164
Raw total energy, eV per formula unit: -23.7



No. 8
An optimized crystal structure of PaCdPb. Source: OQMD, functional PBE.

Geometry as extended XYZ:
```
3
Lattice="0.0000 3.6379 3.6379 3.6379 0.0000 3.6379 3.6379 3.6379 0.0000" Properties=species:S:1:pos:R:3 pbc="T T T"
Cd 1.8190 1.8190 1.8190
Pa 0.0000 0.0000 0.0000
Pb 5.4569 5.4569 5.4569
```

Results
Energy above the most stable polymorph in this dataset, eV per formula unit: 0.00
V, Å³/atom: 32.10
Space group: F-43m, No. 216
Raw total energy, eV per formula unit: -12.6



Question: Look up the V of the fifth one.
Answer: 24.94 Å³/atom